[1]
RbScNbPt | GGA-PBE | optimized geometry

abc: 4.263 4.263 24.620
angles: 90.00 90.00 120.00
Last column: magnetic moment on the atom in μB.
Element x y z (fractional)
Pt (0.000, 0.000, 0.638)  0.00
Pt (0.333, 0.667, 0.304)  0.00
Pt (0.667, 0.333, 0.971)  0.00
Nb (0.667, 0.333, 0.606)  0.09
Nb (0.333, 0.667, 0.939)  0.09
Nb (0.000, 0.000, 0.272)  0.09
Rb (0.000, 0.000, 0.825)  0.00
Rb (0.333, 0.667, 0.492)  0.00
Rb (0.667, 0.333, 0.158)  0.00
Sc (0.000, 0.000, 0.018)  -0.02
Sc (0.333, 0.667, 0.685)  -0.02
Sc (0.667, 0.333, 0.351)  -0.02

Values from the calculation:
ΔH_f (0 K) ... 0.45 eV per formula unit
Fermi-level density of states ... 1.63 states/eV/f.u.
SG ... R3m
V ... 388 Å³/cell


[2]
Sm3Ho3Sc5 | GGA-PBE | optimized geometry

abc: 5.381 9.059 9.059
angles: 120.00 90.00 90.00
Last column: magnetic moment on the atom in μB.
Element x y z (fractional)
Sm (0.500, 0.000, 0.381)  0.01
Sm (0.500, 0.619, 0.619)  0.01
Sm (0.500, 0.381, 0.000)  0.01
Sc (0.500, 0.667, 0.333)  0.01
Sc (0.500, 0.241, 0.241)  0.04
Sc (0.500, 0.759, 0.000)  0.04
Sc (0.500, 0.000, 0.759)  0.04
Sc (0.500, 0.333, 0.667)  0.01
Ho (0.000, 0.000, 0.610)  0.06
Ho (0.000, 0.610, 0.000)  0.06
Ho (0.000, 0.390, 0.390)  0.06

Values from the calculation:
ΔH_f (0 K) ... 9.04 eV per formula unit
Fermi-level density of states ... 20.22 states/eV/f.u.
SG ... P-62m
V ... 382 Å³/cell


[3]
KCaHg2 | GGA-PBE | optimized geometry

abc: 4.093 4.093 8.327
angles: 90.00 90.00 90.01
Element x y z (fractional)
Ca (0.500, 0.500, 0.838)
K (0.000, 0.000, 0.449)
Hg (0.500, 0.500, 0.215)
Hg (0.000, 0.000, 0.998)

Values from the calculation:
ΔH_f (0 K) ... -0.94 eV per formula unit
Fermi-level density of states ... 2.48 states/eV/f.u.
SG ... P4mm
V ... 139 Å³/cell